{"formula": "SmAlSb2", "functional": "PBE", "state": "relaxed", "cell": [[4.2209, 0.0000, 0.0000], [-2.1105, 3.6554, 0.0000], [0.0000, 0.0000, 21.6361]], "species": ["Sm", "Sm", "Sm", "Al", "Al", "Al", "Sb", "Sb", "Sb", "Sb", "Sb", "Sb"], "fractional_positions": [[0.0000, 0.0000, 0.0000], [0.3333, 0.6667, 0.6667], [0.6667, 0.3333, 0.3333], [0.0000, 0.0000, 0.5000], [0.3333, 0.6667, 0.1667], [0.6667, 0.3333, 0.8333], [0.0000, 0.0000, 0.2392], [0.0000, 0.0000, 0.7608], [0.3333, 0.6667, 0.4275], [0.3333, 0.6667, 0.9058], [0.6667, 0.3333, 0.0942], [0.6667, 0.3333, 0.5725]], "e_form_raw_mev_per_atom": -396, "magnetic_moment_mub_per_cell": 0.00, "final_energy_ev_per_atom": -4.572}